(A)
A geometry-optimized Tb3Pm2Tl structure, computed with PBE.

abc: 3.437 11.660 7.879
angles: 137.72 102.60 90.00
Fractional coordinates of all 6 atoms:
1 Tb 0.661 0.651 0.322
2 Tb 0.339 0.329 0.678
3 Tb 0.000 0.024 0.000
4 Pm 0.828 0.570 0.657
5 Pm 0.172 0.913 0.343
6 Tl 0.500 0.257 0.000

**Density**: 8.03 Mg/m³
**N(E_F)**: 10.37 states/eV/f.u.
**Calculated volume**: 33.49 Å³/atom
**Space-group type**: Imm2 (44)

(B)
A geometry-optimized Tb3Pm2Tl structure, computed with PBE.

abc: 4.934 4.895 8.059
angles: 107.68 90.00 90.00
Fractional coordinates of all 6 atoms:
1 Pm 0.000 0.662 0.325
2 Pm 0.000 0.338 0.675
3 Tl 0.000 0.000 0.000
4 Tb 0.500 0.166 0.332
5 Tb 0.500 0.834 0.668
6 Tb 0.500 0.500 0.000

**Density**: 8.70 Mg/m³
**N(E_F)**: 7.40 states/eV/f.u.
**Calculated volume**: 30.91 Å³/atom
**Space-group type**: Cmmm (65)

(B) is preferred energetically. Next in line: 370 meV/atom higher.

(A)
A geometry-optimized Tb5Pm4Tm2 structure, computed with PBE.

abc: 5.654 6.621 9.988
angles: 88.98 106.44 90.00
Fractional coordinates of all 11 atoms:
1 Tb 0.208 0.598 0.416
2 Tb 0.130 0.106 0.260
3 Tb 0.792 0.402 0.584
4 Tb 0.500 0.000 0.000
5 Tb 0.870 0.894 0.740
6 Pm 0.306 0.070 0.612
7 Pm 0.019 0.711 0.038
8 Pm 0.694 0.930 0.388
9 Pm 0.981 0.289 0.962
10 Tm 0.597 0.448 0.194
11 Tm 0.403 0.552 0.806

**Density**: 7.93 Mg/m³
**N(E_F)**: 16.27 states/eV/f.u.
**Calculated volume**: 32.60 Å³/atom
**Space-group type**: C2/m (12)

(B)
A geometry-optimized Tb5Pm4Tm2 structure, computed with PBE.

abc: 7.421 6.660 10.045
angles: 62.74 68.32 56.15
Fractional coordinates of all 11 atoms:
1 Pm 0.310 0.882 0.499
2 Pm 0.670 0.779 0.881
3 Pm 0.690 0.118 0.501
4 Pm 0.330 0.221 0.119
5 Tb 0.351 0.634 0.223
6 Tb 0.000 0.500 0.500
7 Tb 0.649 0.366 0.777
8 Tb 0.208 0.366 0.777
9 Tb 0.792 0.634 0.223
10 Tm 0.859 0.160 0.122
11 Tm 0.141 0.840 0.878

**Density**: 7.85 Mg/m³
**N(E_F)**: 16.27 states/eV/f.u.
**Calculated volume**: 32.92 Å³/atom
**Space-group type**: C2/m (12)

(A) is preferred energetically. Next in line: 5 meV/atom higher.

(A)
A geometry-optimized Tb2PmTm structure, computed with PBE.

abc: 5.683 5.683 5.683
angles: 60.00 60.00 60.00
Fractional coordinates of all 4 atoms:
1 Pm 0.000 0.000 0.000
2 Tb 0.250 0.250 0.250
3 Tb 0.750 0.750 0.750
4 Tm 0.500 0.500 0.500

**Density**: 8.08 Mg/m³
**N(E_F)**: 9.99 states/eV/f.u.
**Calculated volume**: 32.44 Å³/atom
**Space-group type**: Fm-3m (225)

(B)
A geometry-optimized Tb2PmTm structure, computed with PBE.

abc: 3.565 3.565 11.802
angles: 81.31 81.31 60.00
Fractional coordinates of all 4 atoms:
1 Tb 0.248 0.248 0.255
2 Tb 0.752 0.752 0.745
3 Tm 0.500 0.500 0.500
4 Pm 0.000 0.000 0.000

**Density**: 8.20 Mg/m³
**N(E_F)**: 5.52 states/eV/f.u.
**Calculated volume**: 31.98 Å³/atom
**Space-group type**: R-3m (166)

(B) is preferred energetically. Next in line: 127 meV/atom higher.

(A)
A geometry-optimized Tb3PmTm6 structure, computed with PBE.

abc: 9.762 9.762 6.822
angles: 44.32 44.32 60.00
Fractional coordinates of all 10 atoms:
1 Tm 0.404 0.732 0.793
2 Tm 0.071 0.404 0.793
3 Tm 0.233 0.903 0.294
4 Tm 0.903 0.569 0.294
5 Tm 0.569 0.233 0.294
6 Tm 0.732 0.071 0.793
7 Pm 0.898 0.898 0.305
8 Tb 0.147 0.147 0.558
9 Tb 0.644 0.644 0.067
10 Tb 0.398 0.398 0.807

**Density**: 8.56 Mg/m³
**N(E_F)**: 19.93 states/eV/f.u.
**Calculated volume**: 31.73 Å³/atom
**Space-group type**: R3 (146)

(B)
A geometry-optimized Tb3PmTm6 structure, computed with PBE.

abc: 6.143 10.869 10.869
angles: 119.55 90.00 90.00
Fractional coordinates of all 20 atoms:
1 Tb 0.069 0.392 0.608
2 Tb 0.569 0.608 0.392
3 Tb 0.958 0.718 0.935
4 Tb 0.958 0.065 0.282
5 Tb 0.458 0.935 0.718
6 Tb 0.458 0.282 0.065
7 Tm 0.865 0.458 0.035
8 Tm 0.365 0.542 0.965
9 Tm 0.528 0.617 0.713
10 Tm 0.417 0.953 0.047
11 Tm 0.140 0.714 0.286
12 Tm 0.028 0.713 0.617
13 Tm 0.917 0.047 0.953
14 Tm 0.028 0.383 0.287
15 Tm 0.528 0.287 0.383
16 Tm 0.640 0.286 0.714
17 Tm 0.365 0.035 0.458
18 Tm 0.865 0.965 0.542
19 Pm 0.657 0.792 0.208
20 Pm 0.157 0.208 0.792

**Density**: 8.60 Mg/m³
**N(E_F)**: 13.97 states/eV/f.u.
**Calculated volume**: 31.57 Å³/atom
**Space-group type**: Cmc2_1 (36)

(B) is preferred energetically. Next in line: 151 meV/atom higher.

(A)
A geometry-optimized Tb3Pm6Tm2 structure, computed with PBE.

abc: 4.771 4.771 17.093
angles: 98.02 98.02 90.00
Fractional coordinates of all 11 atoms:
1 Tb 0.198 0.198 0.396
2 Tb 0.802 0.802 0.604
3 Tb 0.000 0.000 0.000
4 Pm 0.700 0.700 0.400
5 Pm 0.380 0.880 0.761
6 Pm 0.300 0.300 0.600
7 Pm 0.120 0.620 0.239
8 Pm 0.880 0.380 0.761
9 Pm 0.620 0.120 0.239
10 Tm 0.545 0.545 0.091
11 Tm 0.455 0.455 0.909

**Density**: 7.33 Mg/m³
**N(E_F)**: 16.47 states/eV/f.u.
**Calculated volume**: 34.67 Å³/atom
**Space-group type**: I4/mmm (139)

(B)
A geometry-optimized Tb3Pm6Tm2 structure, computed with PBE.

abc: 3.598 3.598 32.240
angles: 86.80 86.80 60.00
Fractional coordinates of all 11 atoms:
1 Pm 0.818 0.818 0.547
2 Pm 0.364 0.364 0.909
3 Pm 0.182 0.182 0.453
4 Pm 0.091 0.091 0.726
5 Pm 0.636 0.636 0.091
6 Pm 0.909 0.909 0.274
7 Tb 0.727 0.727 0.818
8 Tb 0.000 0.000 0.000
9 Tb 0.273 0.273 0.182
10 Tm 0.546 0.546 0.363
11 Tm 0.454 0.454 0.637

**Density**: 7.76 Mg/m³
**N(E_F)**: 13.10 states/eV/f.u.
**Calculated volume**: 32.78 Å³/atom
**Space-group type**: R-3m (166)

(B) is preferred energetically. Next in line: 277 meV/atom higher.

(A)
A geometry-optimized Tb3Pm4Tm structure, computed with PBE.

abc: 3.494 6.803 11.884
angles: 106.51 98.45 90.00
Fractional coordinates of all 8 atoms:
1 Tb 0.123 0.882 0.245
2 Tb 0.877 0.118 0.755
3 Tb 0.000 0.500 0.000
4 Pm 0.259 0.763 0.519
5 Pm 0.741 0.237 0.481
6 Pm 0.124 0.367 0.247
7 Pm 0.876 0.633 0.753
8 Tm 0.500 0.000 0.000

**Density**: 7.61 Mg/m³
**N(E_F)**: 13.63 states/eV/f.u.
**Calculated volume**: 33.45 Å³/atom
**Space-group type**: C2/m (12)

(B)
A geometry-optimized Tb3Pm4Tm structure, computed with PBE.

abc: 6.311 7.315 11.534
angles: 90.00 90.00 90.00
Fractional coordinates of all 16 atoms:
1 Tb 0.148 0.377 0.500
2 Tb 0.648 0.623 0.000
3 Tb 0.480 0.378 0.750
4 Tb 0.480 0.378 0.250
5 Tb 0.980 0.622 0.750
6 Tb 0.980 0.622 0.250
7 Pm 0.482 0.872 0.252
8 Pm 0.982 0.128 0.752
9 Pm 0.645 0.127 0.000
10 Pm 0.482 0.872 0.748
11 Pm 0.650 0.126 0.500
12 Pm 0.982 0.128 0.248
13 Pm 0.150 0.874 0.000
14 Pm 0.145 0.873 0.500
15 Tm 0.148 0.379 0.000
16 Tm 0.648 0.621 0.500

**Density**: 7.64 Mg/m³
**N(E_F)**: 14.31 states/eV/f.u.
**Calculated volume**: 33.28 Å³/atom
**Space-group type**: Pmn2_1 (31)

(B) is preferred energetically. Next in line: 138 meV/atom higher.

(A)
A geometry-optimized TbPm5Tm3 structure, computed with PBE.

abc: 9.208 9.208 9.674
angles: 118.42 118.42 90.00
Fractional coordinates of all 18 atoms:
1 Pm 0.833 0.931 0.264
2 Pm 0.069 0.569 0.736
3 Pm 0.569 0.667 0.736
4 Pm 0.931 0.431 0.264
5 Pm 0.667 0.167 0.736
6 Pm 0.000 0.000 0.000
7 Pm 0.167 0.069 0.736
8 Pm 0.500 0.500 0.000
9 Pm 0.333 0.833 0.264
10 Pm 0.431 0.333 0.264
11 Tm 0.390 0.890 0.000
12 Tm 0.110 0.390 0.000
13 Tm 0.250 0.250 0.500
14 Tm 0.610 0.110 0.000
15 Tm 0.890 0.610 0.000
16 Tm 0.750 0.750 0.500
17 Tb 0.250 0.750 0.500
18 Tb 0.750 0.250 0.500

**Density**: 7.61 Mg/m³
**N(E_F)**: 12.93 states/eV/f.u.
**Calculated volume**: 33.70 Å³/atom
**Space-group type**: I4/mcm (140)

(B)
A geometry-optimized TbPm5Tm3 structure, computed with PBE.

abc: 9.310 9.889 7.281
angles: 90.01 90.00 118.08
Fractional coordinates of all 18 atoms:
1 Pm 0.699 0.000 0.250
2 Pm 0.841 0.329 0.001
3 Pm 0.159 0.671 0.501
4 Pm 0.159 0.671 0.999
5 Pm 0.488 0.329 0.999
6 Pm 0.488 0.329 0.501
7 Pm 0.841 0.329 0.499
8 Pm 0.512 0.671 0.499
9 Pm 0.512 0.671 0.001
10 Pm 0.301 0.000 0.750
11 Tm 0.176 0.354 0.750
12 Tm 0.823 0.646 0.750
13 Tm 0.000 0.000 0.000
14 Tm 0.000 0.000 0.500
15 Tm 0.177 0.354 0.250
16 Tm 0.824 0.646 0.250
17 Tb 0.671 0.000 0.750
18 Tb 0.329 0.000 0.250

**Density**: 7.81 Mg/m³
**N(E_F)**: 11.45 states/eV/f.u.
**Calculated volume**: 32.86 Å³/atom
**Space-group type**: Cmcm (63)

(B) is preferred energetically. Next in line: 183 meV/atom higher.

(A)
A geometry-optimized Tb4Pm4Tm3 structure, computed with PBE.

abc: 3.527 5.647 18.083
angles: 81.03 84.40 90.00
Fractional coordinates of all 11 atoms:
1 Tm 0.000 0.000 0.000
2 Tm 0.136 0.636 0.729
3 Tm 0.864 0.364 0.271
4 Pm 0.410 0.910 0.180
5 Pm 0.268 0.268 0.464
6 Pm 0.590 0.090 0.820
7 Pm 0.732 0.732 0.536
8 Tb 0.320 0.820 0.360
9 Tb 0.454 0.454 0.091
10 Tb 0.546 0.546 0.909
11 Tb 0.680 0.180 0.640

**Density**: 8.08 Mg/m³
**N(E_F)**: 19.12 states/eV/f.u.
**Calculated volume**: 32.18 Å³/atom
**Space-group type**: Immm (71)

(B)
A geometry-optimized Tb4Pm4Tm3 structure, computed with PBE.

abc: 3.516 5.448 18.925
angles: 98.27 84.68 89.98
Fractional coordinates of all 11 atoms:
1 Tb 0.684 0.817 0.635
2 Tb 0.316 0.183 0.365
3 Tb 0.547 0.454 0.909
4 Tb 0.453 0.546 0.091
5 Pm 0.901 0.096 0.192
6 Pm 0.223 0.278 0.556
7 Pm 0.099 0.904 0.808
8 Pm 0.777 0.722 0.444
9 Tm 0.000 0.000 0.000
10 Tm 0.639 0.364 0.728
11 Tm 0.361 0.636 0.272

**Density**: 8.01 Mg/m³
**N(E_F)**: 17.32 states/eV/f.u.
**Calculated volume**: 32.47 Å³/atom
**Space-group type**: P-1 (2)

(B) is preferred energetically. Next in line: 8 meV/atom higher.